Density functional theory data (PBE) for a relaxed Cr2FeRe crystal.

Summary:
energy relative to the lowest polymorph listed for this composition	25.6	meV per atom
density of states at the Fermi level	4.439	states/eV/f.u.
calculated formation energy	102.7	meV per atom
E_tot	-9.937	eV per atom

Structure (CIF):
```
data_Cr2FeRe
_space_group_name_H-M_alt 'I m m m'
_space_group_IT_number 71
_space_group_name_Hall '-I 2 2'
_cell_length_a 2.9814
_cell_length_b 4.1158
_cell_length_c 8.1579
_cell_angle_alpha 90.00
_cell_angle_beta 90.00
_cell_angle_gamma 90.00
loop_
_atom_site_label
_atom_site_type_symbol
_atom_site_fract_x
_atom_site_fract_y
_atom_site_fract_z
_atom_site_occupancy
Cr1 Cr 0.0000 0.0000 0.2485 1
Fe1 Fe 0.0000 0.5000 0.0000 1
Re1 Re 0.0000 0.5000 0.5000 1
```

=====

Density functional theory data (PBE) for a relaxed CeU2Pd9 crystal.

Summary:
density of states at the Fermi level	21.555	states/eV/f.u.
calculated formation energy	-610.4	meV per atom
E_tot	-6.881	eV per atom

Structure (CIF):
```
data_CeU2Pd9
_space_group_name_H-M_alt 'P 4/m m m'
_space_group_IT_number 123
_space_group_name_Hall '-P 4 2'
_cell_length_a 4.1558
_cell_length_b 4.1558
_cell_length_c 12.4745
_cell_angle_alpha 90.00
_cell_angle_beta 90.00
_cell_angle_gamma 90.00
loop_
_atom_site_label
_atom_site_type_symbol
_atom_site_fract_x
_atom_site_fract_y
_atom_site_fract_z
_atom_site_occupancy
Ce1 Ce 0.0000 0.0000 0.0000 1
U1 U 0.0000 0.0000 0.3334 1
Pd1 Pd 0.0000 0.5000 0.1687 1
Pd2 Pd 0.0000 0.5000 0.5000 1
Pd3 Pd 0.5000 0.5000 0.0000 1
Pd4 Pd 0.5000 0.5000 0.3345 1
```

=====

Density functional theory data (PBE) for a relaxed BaSb3 crystal.

Summary:
density of states at the Fermi level	2.242	states/eV/f.u.
E_tot	-3.873	eV per atom
formation energy (no corrections)	-0.300	eV/atom

Structure (CIF):
```
data_BaSb3
_space_group_name_H-M_alt 'P m m m'
_space_group_IT_number 47
_space_group_name_Hall '-P 2 2'
_cell_length_a 4.0660
_cell_length_b 4.6605
_cell_length_c 6.8605
_cell_angle_alpha 90.00
_cell_angle_beta 90.00
_cell_angle_gamma 90.00
loop_
_atom_site_label
_atom_site_type_symbol
_atom_site_fract_x
_atom_site_fract_y
_atom_site_fract_z
_atom_site_occupancy
Ba1 Ba 0.0000 0.0000 0.0000 1
Sb1 Sb 0.0000 0.0000 0.5000 1
Sb2 Sb 0.5000 0.5000 0.2911 1
```

=====

Density functional theory data (PBE) for a relaxed KTaZn2 crystal.

Summary:
energy relative to the lowest polymorph listed for this composition	123.9	meV per atom
density of states at the Fermi level	0.974	states/eV/f.u.
calculated formation energy	578.9	meV per atom
E_tot	-3.296	eV per atom

Structure (CIF):
```
data_KTaZn2
_space_group_name_H-M_alt 'C 1 m 1'
_space_group_IT_number 8
_space_group_name_Hall 'C -2y'
_cell_length_a 11.0694
_cell_length_b 2.6661
_cell_length_c 6.0283
_cell_angle_alpha 90.00
_cell_angle_beta 103.72
_cell_angle_gamma 90.00
loop_
_atom_site_label
_atom_site_type_symbol
_atom_site_fract_x
_atom_site_fract_y
_atom_site_fract_z
_atom_site_occupancy
K1 K 0.0000 0.0000 0.0000 1
Ta1 Ta 0.1987 0.0000 0.5925 1
Zn1 Zn 0.2698 0.5000 0.2354 1
Zn2 Zn 0.4716 0.0000 0.5024 1
```

=====

Density functional theory data (PBE) for a relaxed Tb8Bi2Ir3 crystal.

Summary:
energy relative to the lowest polymorph listed for this composition	0.0	meV per atom
density of states at the Fermi level	7.220	states/eV/f.u.
calculated formation energy	-648.7	meV per atom
E_tot	-6.140	eV per atom

Structure (CIF):
```
data_Tb8Bi2Ir3
_space_group_name_H-M_alt 'P 1 2/m 1'
_space_group_IT_number 10
_space_group_name_Hall '-P 2y'
_cell_length_a 9.1585
_cell_length_b 4.8758
_cell_length_c 9.1604
_cell_angle_alpha 90.00
_cell_angle_beta 115.15
_cell_angle_gamma 90.00
loop_
_atom_site_label
_atom_site_type_symbol
_atom_site_fract_x
_atom_site_fract_y
_atom_site_fract_z
_atom_site_occupancy
Tb1 Tb 0.1056 0.0000 0.3944 1
Tb2 Tb 0.1465 0.5000 0.8629 1
Tb3 Tb 0.3625 0.5000 0.6467 1
Tb4 Tb 0.3899 0.0000 0.1102 1
Bi1 Bi 0.2440 0.5000 0.2566 1
Ir1 Ir 0.2497 0.0000 0.7499 1
Ir2 Ir 0.5000 0.5000 0.0000 1
```

=====

Density functional theory data (PBE) for a relaxed LaTiPtN2 crystal.

Summary:
density of states at the Fermi level	6.776	states/eV/f.u.
E_tot	-6.144	eV per atom
formation energy (no corrections)	0.959	eV/atom

Structure (CIF):
```
data_LaTiPtN2
_space_group_name_H-M_alt 'P 4/m m m'
_space_group_IT_number 123
_space_group_name_Hall '-P 4 2'
_cell_length_a 4.2161
_cell_length_b 4.2161
_cell_length_c 4.6937
_cell_angle_alpha 90.00
_cell_angle_beta 90.00
_cell_angle_gamma 90.00
loop_
_atom_site_label
_atom_site_type_symbol
_atom_site_fract_x
_atom_site_fract_y
_atom_site_fract_z
_atom_site_occupancy
La1 La 0.0000 0.0000 0.0000 1
Ti1 Ti 0.5000 0.5000 0.0000 1
Pt1 Pt 0.5000 0.5000 0.5000 1
N1 N 0.0000 0.5000 0.5000 1
```

=====

Density functional theory data (PBE) for a relaxed ErSe2O5 crystal.

Summary:
density of states at the Fermi level	3.000	states/eV/f.u.
E_tot	-6.036	eV per atom
formation energy (no corrections)	-1.496	eV/atom

Structure (CIF):
```
data_ErSe2O5
_space_group_name_H-M_alt 'P b c n'
_space_group_IT_number 60
_space_group_name_Hall '-P 2n 2ab'
_cell_length_a 7.3452
_cell_length_b 10.6515
_cell_length_c 6.8222
_cell_angle_alpha 90.00
_cell_angle_beta 90.00
_cell_angle_gamma 90.00
loop_
_atom_site_label
_atom_site_type_symbol
_atom_site_fract_x
_atom_site_fract_y
_atom_site_fract_z
_atom_site_occupancy
Er1 Er 0.0000 0.0670 0.2500 1
Se1 Se 0.1279 0.3581 0.0277 1
O1 O 0.0000 0.4304 0.2500 1
O2 O 0.1548 0.0663 0.5391 1
O3 O 0.1786 0.2179 0.1412 1
```

=====

Density functional theory data (PBE) for a relaxed Al5Tc4 crystal.

Summary:
energy relative to the lowest polymorph listed for this composition	0.0	meV per atom
density of states at the Fermi level	9.271	states/eV/f.u.
calculated formation energy	-219.5	meV per atom
E_tot	-6.906	eV per atom

Structure (CIF):
```
data_Al5Tc4
_space_group_name_H-M_alt 'P 63/m c m'
_space_group_IT_number 193
_space_group_name_Hall '-P 6c 2'
_cell_length_a 7.6484
_cell_length_b 7.6484
_cell_length_c 5.1446
_cell_angle_alpha 90.00
_cell_angle_beta 90.00
_cell_angle_gamma 120.00
loop_
_atom_site_label
_atom_site_type_symbol
_atom_site_fract_x
_atom_site_fract_y
_atom_site_fract_z
_atom_site_occupancy
Al1 Al 0.0000 0.3043 0.2500 1
Al2 Al 0.3333 0.6667 0.0000 1
Tc1 Tc 0.0000 0.0000 0.0000 1
Tc2 Tc 0.0000 0.3639 0.7500 1
```